# 1
# Sr7RuN6 (PBE-GGA, optimized geometry)
# total magnetization	0.0000	μB/atom
# calculated total energy	-5.531	eV per atom
# raw formation energy	-0.460	eV per atom
data_Sr7RuN6
_chemical_formula_sum 'Sr28 Ru4 N24'
_space_group_name_H-M_alt 'P 1'
_space_group_IT_number 1
_space_group_name_Hall 'P 1'
_cell_length_a 6.693
_cell_length_b 11.913
_cell_length_c 13.978
_cell_angle_alpha 90.00
_cell_angle_beta 90.00
_cell_angle_gamma 90.00
loop_
_atom_site_label
_atom_site_type_symbol
_atom_site_fract_x
_atom_site_fract_y
_atom_site_fract_z
Sr1 Sr 0.633 0.719 0.375
Sr2 Sr 0.391 0.711 0.122
Sr3 Sr 0.609 0.711 0.622
Sr4 Sr 0.767 0.464 0.481
Sr5 Sr 0.267 0.036 0.481
Sr6 Sr 0.109 0.789 0.622
Sr7 Sr 0.391 0.289 0.378
Sr8 Sr 0.233 0.464 0.981
Sr9 Sr 0.267 0.964 0.019
Sr10 Sr 0.867 0.781 0.875
Sr11 Sr 0.233 0.536 0.519
Sr12 Sr 0.068 0.500 0.250
Sr13 Sr 0.891 0.789 0.122
Sr14 Sr 0.767 0.536 0.019
Sr15 Sr 0.633 0.281 0.125
Sr16 Sr 0.109 0.211 0.878
Sr17 Sr 0.367 0.281 0.625
Sr18 Sr 0.367 0.719 0.875
Sr19 Sr 0.733 0.964 0.519
Sr20 Sr 0.891 0.211 0.378
Sr21 Sr 0.609 0.289 0.878
Sr22 Sr 0.568 0.000 0.250
Sr23 Sr 0.733 0.036 0.981
Sr24 Sr 0.432 0.000 0.750
Sr25 Sr 0.867 0.219 0.625
Sr26 Sr 0.932 0.500 0.750
Sr27 Sr 0.133 0.219 0.125
Sr28 Sr 0.133 0.781 0.375
N1 N 0.412 0.466 0.141
N2 N 0.757 0.877 0.707
N3 N 0.088 0.966 0.859
N4 N 0.912 0.034 0.141
N5 N 0.094 0.667 0.996
N6 N 0.257 0.377 0.793
N7 N 0.906 0.333 0.004
N8 N 0.412 0.534 0.359
N9 N 0.594 0.167 0.504
N10 N 0.912 0.966 0.359
N11 N 0.257 0.623 0.707
N12 N 0.406 0.167 0.004
N13 N 0.094 0.333 0.504
N14 N 0.243 0.877 0.207
N15 N 0.743 0.377 0.293
N16 N 0.406 0.833 0.496
N17 N 0.906 0.667 0.496
N18 N 0.588 0.534 0.859
N19 N 0.088 0.034 0.641
N20 N 0.757 0.123 0.793
N21 N 0.243 0.123 0.293
N22 N 0.743 0.623 0.207
N23 N 0.594 0.833 0.996
N24 N 0.588 0.466 0.641
Ru1 Ru 0.077 0.000 0.250
Ru2 Ru 0.923 0.000 0.750
Ru3 Ru 0.577 0.500 0.250
Ru4 Ru 0.423 0.500 0.750



# 2
# TbCe2Os2 (PBE-GGA, optimized geometry)
# total magnetization	0.0000	μB/atom
# calculated total energy	-7.939	eV per atom
# energy of formation from the pure elements	-0.7	eV per formula unit
data_TbCe2Os2
_chemical_formula_sum 'Tb2 Ce4 Os4'
_space_group_name_H-M_alt 'P 1'
_space_group_IT_number 1
_space_group_name_Hall 'P 1'
_cell_length_a 4.699
_cell_length_b 5.217
_cell_length_c 10.230
_cell_angle_alpha 82.92
_cell_angle_beta 90.00
_cell_angle_gamma 90.00
loop_
_atom_site_label
_atom_site_type_symbol
_atom_site_fract_x
_atom_site_fract_y
_atom_site_fract_z
Os1 Os 0.250 0.343 0.954
Os2 Os 0.750 0.657 0.046
Os3 Os 0.250 0.681 0.634
Os4 Os 0.750 0.319 0.366
Ce1 Ce 0.250 0.885 0.889
Ce2 Ce 0.750 0.771 0.461
Ce3 Ce 0.250 0.229 0.539
Ce4 Ce 0.750 0.115 0.111
Tb1 Tb 0.750 0.447 0.784
Tb2 Tb 0.250 0.553 0.216